{
  "formula": "Cd2PBr",
  "functional": "GGA-PBE",
  "state": "optimized geometry",
  "lattice_angstrom": [[3.394, 0.000, 0.000], [0.000, 3.587, 0.000], [0.000, 0.000, 7.465]],
  "species": ["Cd", "Cd", "P", "Br"],
  "frac_coords": [[0.000, 0.000, 0.208], [0.000, 0.000, 0.792], [0.500, 0.500, 0.000], [0.500, 0.500, 0.500]],
  "crystal_system": "orthorhombic",
  "rho_g_cm3": 6.13,
  "magmom_total_mub_per_atom": 0.000,
  "dos_at_fermi_per_ev_cell": 1.53,
  "e_form_raw_ev_per_fu": 0.34,
  "dft_energy_ev_per_atom": -2.144,
  "volume_a3_per_cell": 91
}